A plane-wave DFT calculation with GGA-PBE was carried out for a relaxed SeSN2 crystal.

Lattice parameters (Å, degrees): 3.180 3.180 18.087 90.00 90.00 120.00
Sites, in units of the cell vectors:
Se 0.000 0.000 0.000
Se 0.333 0.667 0.667
Se 0.667 0.333 0.333
S 0.000 0.000 0.500
S 0.333 0.667 0.167
S 0.667 0.333 0.833
N 0.000 0.000 0.400
N 0.000 0.000 0.600
N 0.333 0.667 0.067
N 0.333 0.667 0.267
N 0.667 0.333 0.733
N 0.667 0.333 0.933

Computed properties:
- E (eV for the cell shown) = -56.36
- DOS at the Fermi energy (states/eV per cell) = 7.9
- energy relative to the elements, uncorrected (eV/f.u.) = 5.48